YNiNF2 | PBE with a Hubbard U | relaxed

## Properties
* total moment: 2.0 μB per cell
* offset from the most stable computed form: 316 meV per atom
* E: -27.46 eV/cell

```
data_YNiNF2
_chemical_formula_sum 'Y1 Ni1 N1 F2'
_cell_length_a 4.311
_cell_length_b 4.311
_cell_length_c 4.600
_cell_angle_alpha 90.00
_cell_angle_beta 90.00
_cell_angle_gamma 90.00
_space_group_name_H-M_alt 'P 4/m m m'
_space_group_IT_number 123
_space_group_name_Hall '-P 4 2'
loop_
_atom_site_label
_atom_site_type_symbol
_atom_site_fract_x
_atom_site_fract_y
_atom_site_fract_z
Y1 Y 0.000 0.000 0.000
Ni1 Ni 0.500 0.500 0.500
N1 N 0.000 0.000 0.500
F1 F 0.000 0.500 0.000
```